a:
A relaxed YTmPd4 crystal. Source: the Alexandria database, functional PBE.

Cell lengths 9.7133, 3.6312, 6.9487 Å; angles 90.00, 110.89, 90.00 degrees
Last column: nearest neighbours and their distance in Å.
Element x y z (fractional)
Y1 0.0000 0.0000 0.0000  10 Pd 2.96-3.02
Y2 0.5000 0.5000 0.0000  10 Pd 2.96-3.02
Tm1 0.0000 0.0000 0.5000  10 Pd 2.90-3.04
Tm2 0.5000 0.5000 0.5000  10 Pd 2.90-3.04
Pd1 0.1656 0.5000 0.3393  5 Pd 2.89-3.02, 3 Tm 2.90-3.04, 2 Y 2.96
Pd2 0.1677 0.5000 0.8269  2 Tm 2.91, 5 Pd 2.93-3.02, 3 Y 2.97-3.02
Pd3 0.3323 0.0000 0.1731  2 Tm 2.91, 5 Pd 2.93-3.02, 3 Y 2.97-3.02
Pd4 0.3344 0.0000 0.6607  5 Pd 2.89-3.02, 3 Tm 2.90-3.04, 2 Y 2.96
Pd5 0.6656 0.0000 0.3393  5 Pd 2.89-3.02, 3 Tm 2.90-3.04, 2 Y 2.96
Pd6 0.6677 0.0000 0.8269  2 Tm 2.91, 5 Pd 2.93-3.02, 3 Y 2.97-3.02
Pd7 0.8323 0.5000 0.1731  2 Tm 2.91, 5 Pd 2.93-3.02, 3 Y 2.97-3.02
Pd8 0.8344 0.5000 0.6607  5 Pd 2.89-3.02, 3 Tm 2.90-3.04, 2 Y 2.96

- Mass density: 9914 kg/m³
- Magnetization: 0.00 μB/cell
- D(E_F): 3.21 states/eV/f.u.
- Space-group type: C2/m (12)

---

b:
A relaxed YTmPd4 crystal. Source: the Alexandria database, functional PBE.

Cell lengths 3.9332, 3.9332, 8.4067 Å; angles 90.00, 90.00, 90.00 degrees
Last column: nearest neighbours and their distance in Å.
Element x y z (fractional)
Y1 0.0000 0.0000 0.0000  8 Pd 2.91
Tm1 0.5000 0.5000 0.5000  8 Pd 2.85
Pd1 0.0000 0.5000 0.2545  4 Pd 2.78, 2 Tm 2.85, 2 Y 2.91
Pd2 0.0000 0.5000 0.7455  4 Pd 2.78, 2 Tm 2.85, 2 Y 2.91
Pd3 0.5000 0.0000 0.2545  4 Pd 2.78, 2 Tm 2.85, 2 Y 2.91
Pd4 0.5000 0.0000 0.7455  4 Pd 2.78, 2 Tm 2.85, 2 Y 2.91

- Mass density: 8727 kg/m³
- Magnetization: 0.00 μB/cell
- D(E_F): 2.38 states/eV/f.u.
- Space-group type: P4/mmm (123)

---

Most stable: a. Least stable: b.

---

a:
A relaxed Y2Tm3Pd4 crystal. Source: the Alexandria database, functional PBE.

Cell lengths 9.2141, 9.2141, 7.3804 Å; angles 90.00, 90.00, 137.90 degrees
Last column: nearest neighbours and their distance in Å.
Element x y z (fractional)
Y1 0.0950 0.9050 0.9135  3 Pd 3.02-3.04
Y2 0.4050 0.5950 0.4135  3 Pd 3.02-3.04
Y3 0.5950 0.4050 0.5865  3 Pd 3.02-3.04
Y4 0.9050 0.0950 0.0865  3 Pd 3.02-3.04
Tm1 0.0000 0.0000 0.5000  6 Pd 2.73-2.89
Tm2 0.0180 0.4820 0.7500  5 Pd 2.85-2.91
Tm3 0.4820 0.0180 0.2500  5 Pd 2.85-2.91
Tm4 0.5000 0.5000 0.0000  6 Pd 2.73-2.89
Tm5 0.5180 0.9820 0.7500  5 Pd 2.85-2.91
Tm6 0.9820 0.5180 0.2500  5 Pd 2.85-2.91
Pd1 0.1675 0.8325 0.5376  5 Tm 2.86-2.91, 1 Y 3.04, 2 Pd 3.20
Pd2 0.1835 0.3165 0.7500  3 Tm 2.73-2.85, 2 Y 3.02
Pd3 0.3165 0.1835 0.2500  3 Tm 2.73-2.85, 2 Y 3.02
Pd4 0.3325 0.6675 0.0376  5 Tm 2.86-2.91, 1 Y 3.04, 2 Pd 3.20
Pd5 0.6675 0.3325 0.9624  5 Tm 2.86-2.91, 1 Y 3.04, 2 Pd 3.20
Pd6 0.6835 0.8165 0.7500  3 Tm 2.73-2.85, 2 Y 3.02
Pd7 0.8165 0.6835 0.2500  3 Tm 2.73-2.85, 2 Y 3.02
Pd8 0.8325 0.1675 0.4624  5 Tm 2.86-2.91, 1 Y 3.04, 2 Pd 3.20

- Mass density: 8777 kg/m³
- Magnetization: 0.00 μB/cell
- D(E_F): 7.96 states/eV/f.u.
- Space-group type: Cmce (64)

---

b:
A relaxed Y2Tm3Pd4 crystal. Source: the Alexandria database, functional PBE.

Cell lengths 7.5713, 7.5619, 7.6786 Å; angles 90.00, 108.96, 90.00 degrees
Last column: nearest neighbours and their distance in Å.
Element x y z (fractional)
Y1 0.1937 0.1774 0.0795  6 Pd 3.00-3.24
Y2 0.1937 0.3226 0.5795  6 Pd 3.00-3.24
Y3 0.8063 0.6774 0.4205  6 Pd 3.00-3.24
Y4 0.8063 0.8226 0.9205  6 Pd 3.00-3.24
Tm1 0.2419 0.6637 0.2495  6 Pd 2.80-2.98
Tm2 0.2419 0.8363 0.7495  6 Pd 2.80-2.98
Tm3 0.5000 0.0000 0.5000  6 Pd 2.95-3.02
Tm4 0.5000 0.5000 0.0000  6 Pd 2.95-3.02
Tm5 0.7581 0.1637 0.2505  6 Pd 2.80-2.98
Tm6 0.7581 0.3363 0.7505  6 Pd 2.80-2.98
Pd1 0.0889 0.5377 0.8609  4 Tm 2.80-2.98, 1 Pd 2.93, 1 Y 3.01
Pd2 0.0889 0.9623 0.3609  4 Tm 2.80-2.98, 1 Pd 2.93, 1 Y 3.01
Pd3 0.4978 0.1329 0.8700  1 Pd 2.83, 5 Tm 2.88-3.02, 1 Y 3.00
Pd4 0.4978 0.3671 0.3700  1 Pd 2.83, 5 Tm 2.88-3.02, 1 Y 3.00
Pd5 0.5022 0.6329 0.6300  1 Pd 2.83, 5 Tm 2.88-3.02, 1 Y 3.00
Pd6 0.5022 0.8671 0.1300  1 Pd 2.83, 5 Tm 2.88-3.02, 1 Y 3.00
Pd7 0.9111 0.0377 0.6391  4 Tm 2.80-2.98, 1 Pd 2.93, 1 Y 3.01
Pd8 0.9111 0.4623 0.1391  4 Tm 2.80-2.98, 1 Pd 2.93, 1 Y 3.01

- Mass density: 8868 kg/m³
- Magnetization: 0.00 μB/cell
- D(E_F): 6.28 states/eV/f.u.
- Space-group type: P2_1/c (14)

---

Most stable: b. Least stable: a.

---

a:
A relaxed Y2TmPd crystal. Source: the Alexandria database, functional PBE.

Cell lengths 3.5656, 3.5656, 32.0291 Å; angles 90.00, 90.00, 120.00 degrees
Last column: nearest neighbours and their distance in Å.
Element x y z (fractional)
Y1 0.0000 0.0000 0.1049  3 Pd 2.86
Y2 0.0000 0.0000 0.8951  3 Pd 2.86
Y3 0.3333 0.6667 0.5618  3 Pd 2.86
Y4 0.3333 0.6667 0.7716  3 Pd 2.86
Y5 0.6667 0.3333 0.2284  3 Pd 2.86
Y6 0.6667 0.3333 0.4382  3 Pd 2.86
Tm1 0.0000 0.0000 0.0000  2 Y 3.36, 6 Tm 3.57
Tm2 0.3333 0.6667 0.6667  2 Y 3.36, 6 Tm 3.57
Tm3 0.6667 0.3333 0.3333  2 Y 3.36, 6 Tm 3.57
Pd1 0.0000 0.0000 0.5000  6 Y 2.86
Pd2 0.3333 0.6667 0.1667  6 Y 2.86
Pd3 0.6667 0.3333 0.8333  6 Y 2.86

- Mass density: 6402 kg/m³
- Magnetization: 0.00 μB/cell
- D(E_F): 4.97 states/eV/f.u.
- Space-group type: R-3m (166)

---

b:
A relaxed Y2TmPd crystal. Source: the Alexandria database, functional PBE.

Cell lengths 3.6998, 3.6998, 28.7595 Å; angles 90.00, 90.00, 120.00 degrees
Last column: nearest neighbours and their distance in Å.
Element x y z (fractional)
Y1 0.0000 0.0000 0.0000  3 Pd 2.88
Y2 0.0000 0.0000 0.1997  3 Pd 2.87
Y3 0.3333 0.6667 0.6667  3 Pd 2.88
Y4 0.3333 0.6667 0.8664  3 Pd 2.87
Y5 0.6667 0.3333 0.3333  3 Pd 2.88
Y6 0.6667 0.3333 0.5330  3 Pd 2.87
Tm1 0.0000 0.0000 0.4342  6 Y 3.55-3.60, 6 Tm 3.70
Tm2 0.3333 0.6667 0.1009  6 Y 3.55-3.60, 6 Tm 3.70
Tm3 0.6667 0.3333 0.7675  6 Y 3.55-3.60, 6 Tm 3.70
Pd1 0.0000 0.0000 0.5997  6 Y 2.87-2.88
Pd2 0.3333 0.6667 0.2664  6 Y 2.87-2.88
Pd3 0.6667 0.3333 0.9331  6 Y 2.87-2.88

- Mass density: 6621 kg/m³
- Magnetization: 1.48 μB/cell
- D(E_F): 4.84 states/eV/f.u.
- Space-group type: R3m (160)

---

Most stable: b. Least stable: a.

---

a:
A relaxed Y2TmPd crystal. Source: the Alexandria database, functional PBE.

Cell lengths 6.9850, 9.6747, 6.4899 Å; angles 90.00, 90.00, 90.00 degrees
Last column: nearest neighbours and their distance in Å.
Element x y z (fractional)
Y1 0.1835 0.0591 0.1797  2 Pd 2.88-2.96
Y2 0.1835 0.4409 0.1797  2 Pd 2.88-2.96
Y3 0.3165 0.5591 0.6797  2 Pd 2.88-2.96
Y4 0.3165 0.9409 0.6797  2 Pd 2.88-2.96
Y5 0.6835 0.0591 0.3203  2 Pd 2.88-2.96
Y6 0.6835 0.4409 0.3203  2 Pd 2.88-2.96
Y7 0.8165 0.5591 0.8203  2 Pd 2.88-2.96
Y8 0.8165 0.9409 0.8203  2 Pd 2.88-2.96
Tm1 0.0260 0.2500 0.6310  2 Pd 2.80-2.84
Tm2 0.4740 0.7500 0.1310  2 Pd 2.80-2.84
Tm3 0.5260 0.2500 0.8690  2 Pd 2.80-2.84
Tm4 0.9740 0.7500 0.3690  2 Pd 2.80-2.84
Pd1 0.1072 0.7500 0.9557  2 Tm 2.80-2.84, 4 Y 2.88-2.96
Pd2 0.3928 0.2500 0.4557  2 Tm 2.80-2.84, 4 Y 2.88-2.96
Pd3 0.6072 0.7500 0.5443  2 Tm 2.80-2.84, 4 Y 2.88-2.96
Pd4 0.8928 0.2500 0.0443  2 Tm 2.80-2.84, 4 Y 2.88-2.96

- Mass density: 6863 kg/m³
- Magnetization: 0.00 μB/cell
- D(E_F): 4.73 states/eV/f.u.
- Space-group type: Pnma (62)

---

b:
A relaxed Y2TmPd crystal. Source: the Alexandria database, functional PBE.

Cell lengths 3.5790, 3.5790, 8.3550 Å; angles 90.00, 90.00, 90.00 degrees
Last column: nearest neighbours and their distance in Å.
Element x y z (fractional)
Y1 0.0000 0.0000 0.2023  4 Pd 3.04, 1 Y 3.38
Y2 0.0000 0.0000 0.7977  4 Pd 3.04, 1 Y 3.38
Tm1 0.5000 0.5000 0.5000  8 Y 3.55, 4 Tm 3.58
Pd1 0.5000 0.5000 0.0000  8 Y 3.04

- Mass density: 7031 kg/m³
- Magnetization: 0.00 μB/cell
- D(E_F): 5.02 states/eV/f.u.
- Space-group type: P4/mmm (123)

---

Most stable: a. Least stable: b.